VASP calculation (SCAN) on a crystal of ZnInCl3 relaxed with PBEsol.

Unit cell a=6.165 b=6.208 c=7.405 alpha=90.03 beta=102.96 gamma=95.41
Space group P1 (No. 1)
One atom of each set of equivalent atoms:
Zn 0.000 0.000 0.000 (multiplicity 1)
Zn 0.082 0.507 0.304 (multiplicity 1)
In 0.391 0.541 0.885 (multiplicity 1)
In 0.568 0.058 0.423 (multiplicity 1)
Cl 0.004 0.338 0.548 (multiplicity 1)
Cl 0.358 0.027 0.983 (multiplicity 1)
Cl 0.448 0.546 0.311 (multiplicity 1)
Cl 0.779 0.816 0.762 (multiplicity 1)
Cl 0.893 0.343 0.026 (multiplicity 1)
Cl 0.964 0.851 0.280 (multiplicity 1)

Results
* formation energy from raw total energies: -1.1172 eV/atom
* calculated volume: 27.5 Å³ per atom

---

VASP calculation (SCAN) on a crystal of Mn3AlSb relaxed with PBEsol.

Unit cell a=4.890 b=4.890 c=4.890 alpha=90.00 beta=90.00 gamma=90.00
Space group Pm-3m (No. 221)
One atom of each set of equivalent atoms:
Mn 0.000 0.000 0.500 (multiplicity 3)
Al 0.500 0.500 0.500 (multiplicity 1)
Sb 0.000 0.000 0.000 (multiplicity 1)

Results
* formation energy from raw total energies: 0.6920 eV/atom
* calculated volume: 23.4 Å³ per atom

---

VASP calculation (SCAN) on a crystal of CuReTe relaxed with PBEsol.

Unit cell a=3.091 b=4.938 c=13.510 alpha=90.00 beta=90.00 gamma=90.00
Space group Fmm2 (No. 42)
One atom of each set of equivalent atoms:
Cu 0.000 0.000 0.000 (multiplicity 4)
Re 0.000 0.000 0.355 (multiplicity 4)
Te 0.000 0.000 0.682 (multiplicity 4)

Results
* formation energy from raw total energies: 1.0131 eV/atom
* energy above the lowest structure with this stoichiometry: 0.0956 eV per atom
* calculated volume: 17.2 Å³ per atom

---

VASP calculation (SCAN) on a crystal of YInFe relaxed with PBEsol.

Unit cell a=6.378 b=6.378 c=6.378 alpha=90.00 beta=90.00 gamma=90.00
Space group F-43m (No. 216)
One atom of each set of equivalent atoms:
Y 0.000 0.000 0.000 (multiplicity 4)
In 0.000 0.000 0.500 (multiplicity 4)
Fe 0.250 0.250 0.750 (multiplicity 4)

Results
* energy relative to the elements: 61 meV/atom
* calculated volume: 21.6 Å³ per atom

---

VASP calculation (SCAN) on a crystal of Mn2CdIr relaxed with PBEsol.

Unit cell a=2.980 b=2.980 c=6.484 alpha=90.00 beta=90.00 gamma=90.00
Space group P4mm (No. 99)
One atom of each set of equivalent atoms:
Mn 0.000 0.000 0.000 (multiplicity 1)
Mn 0.500 0.500 0.185 (multiplicity 1)
Cd 0.000 0.000 0.478 (multiplicity 1)
Ir 0.500 0.500 0.774 (multiplicity 1)

Results
* energy relative to the elements: -154 meV/atom
* calculated volume: 14.4 Å³ per atom

---

VASP calculation (SCAN) on a crystal of MnReW relaxed with PBEsol.

Unit cell a=5.692 b=5.692 c=5.692 alpha=90.00 beta=90.00 gamma=90.00
Space group F-43m (No. 216)
One atom of each set of equivalent atoms:
Mn 0.000 0.000 0.000 (multiplicity 4)
Re 0.250 0.250 0.750 (multiplicity 4)
W 0.250 0.250 0.250 (multiplicity 4)

Results
* energy relative to the elements: 605 meV/atom
* energy above the lowest structure with this stoichiometry: 0.6358 eV per atom
* calculated volume: 15.4 Å³ per atom

---

- Number 1 is which compound?
  ZnInCl3

---

- Which formula does entry 5 have?
  Mn2CdIr

---

- Which value of calculated volume does entry 5 give?
  14.4 Å³ per atom

---

- Which of these has the lowest calculated volume?
  Mn2CdIr